# 1
DFT (PBE-GGA) results for a geometry-optimized LaCrPb structure.

abc: 3.7011 3.7011 11.7593
angles: 90.00 90.00 90.00
With the nearest neighbours (Å) after each atom.
Space group I4mm (No. 107)
Inequivalent atoms, fractional coordinates:
La (0.0000, 0.0000, 0.0000) [2 per cell]  4 Cr 3.35, 5 Pb 3.52-3.53, 4 La 3.70
Cr (0.0000, 0.0000, 0.3220) [2 per cell]  4 Pb 2.98
Pb (0.0000, 0.0000, 0.7001) [2 per cell]  4 Cr 2.98

Output
E_form: 17.2 kJ/mol of atoms

---

# 2
DFT (PBE-GGA) results for a geometry-optimized InHgPb2 structure.

abc: 4.6976 4.6976 10.4603
angles: 90.00 90.00 90.00
With the nearest neighbours (Å) after each atom.
Space group I-4m2 (No. 119)
Inequivalent atoms, fractional coordinates:
In (0.0000, 0.0000, 0.0000) [2 per cell]  8 Pb 3.32-3.52, 4 Hg 3.52
Hg (0.0000, 0.5000, 0.2500) [2 per cell]  8 Pb 3.32-3.52, 4 In 3.52
Pb (0.0000, 0.0000, 0.5000) [2 per cell]  4 In 3.32, 4 Hg 3.52, 4 Pb 3.52
Pb (0.0000, 0.5000, 0.7500) [2 per cell]  4 Hg 3.32, 4 In 3.52, 4 Pb 3.52

Output
E_form: 2.4 kJ/mol of atoms
energy relative to the lowest polymorph listed for this composition: 8 kJ/mol of formula units

---

# 3
DFT (PBE-GGA) results for a geometry-optimized Tb5Y2ErTm structure.

abc: 5.5941 19.8260 10.5774
angles: 90.00 90.00 90.00
With the nearest neighbours (Å) after each atom.
Space group Cmc2_1 (No. 36)
Inequivalent atoms, fractional coordinates:
Tb (0.0000, 0.0195, 0.0000) [4 per cell]  2 Er 3.16-3.26, 2 Y 3.46, 2 Tb 3.47-3.48
Tb (0.0000, 0.1109, 0.2813) [4 per cell]  6 Tb 3.47-3.80, 4 Y 3.54-3.60, 1 Tm 3.75
Tb (0.0000, 0.2006, 0.9662) [4 per cell]  4 Tb 3.41-3.78, 1 Er 3.43, 3 Y 3.48-3.76, 3 Tm 3.48-3.77
Tb (0.0000, 0.2180, 0.5685) [4 per cell]  1 Er 3.03, 1 Y 3.33
Tb (0.0000, 0.4810, 0.2815) [4 per cell]  2 Er 3.18, 3 Y 3.42-3.52
Y (0.0000, 0.3862, 0.5760) [4 per cell]  9 Tb 3.33-3.64, 1 Tm 3.66
Y (0.0000, 0.3897, 0.9962) [4 per cell]  1 Tm 3.40, 9 Tb 3.42-3.80, 2 Er 3.69
Er (0.0000, 0.0883, 0.7196) [4 per cell]  5 Tb 3.03-3.26
Tm (0.0000, 0.2998, 0.2697) [4 per cell]  2 Y 3.40-3.66, 8 Tb 3.48-3.77, 2 Er 3.61

Output
E_form: 14.5 kJ/mol of atoms

---

# 4
DFT (PBE-GGA) results for a geometry-optimized Tl2PbI4 structure.

abc: 6.3420 6.3420 17.2703
angles: 90.00 90.00 90.00
With the nearest neighbours (Å) after each atom.
Space group I4/mmm (No. 139)
Inequivalent atoms, fractional coordinates:
Tl (0.0000, 0.0000, 0.1301) [4 per cell]  1 I 3.22
Pb (0.0000, 0.0000, 0.5000) [2 per cell]  6 I 3.17
I (0.0000, 0.0000, 0.3163) [4 per cell]  1 Pb 3.17, 1 Tl 3.22
I (0.0000, 0.5000, 0.0000) [4 per cell]  2 Pb 3.17

Output
formation energy from raw total energies: -567 meV/atom
energy relative to the lowest polymorph listed for this composition: 62 kJ/mol of formula units

---

# 5
DFT (PBE-GGA) results for a geometry-optimized GdEr2V structure.

abc: 3.4402 3.4402 31.5011
angles: 90.00 90.00 120.00
With the nearest neighbours (Å) after each atom.
Space group R-3m (No. 166, hexagonal axes)
Inequivalent atoms, fractional coordinates:
Gd (0.0000, 0.0000, 0.0000) [3 per cell]  6 Gd 3.44, 6 Er 3.63
Er (0.0000, 0.0000, 0.2370) [6 per cell]  3 V 2.98
V (0.0000, 0.0000, 0.5000) [3 per cell]  6 Er 2.98

Output
E_form: 33.0 kJ/mol of atoms
energy relative to the lowest polymorph listed for this composition: 55 kJ/mol of formula units

---

# 6
DFT (PBE-GGA) results for a geometry-optimized CsTl3Au structure.

abc: 5.7751 5.7751 5.7751
angles: 90.00 90.00 90.00
With the nearest neighbours (Å) after each atom.
Space group Pm-3m (No. 221)
Inequivalent atoms, fractional coordinates:
Cs (0.0000, 0.0000, 0.0000) [1 per cell]  12 Tl 4.08
Tl (0.0000, 0.5000, 0.5000) [3 per cell]  2 Au 2.89
Au (0.5000, 0.5000, 0.5000) [1 per cell]  6 Tl 2.89

Output
E_form: 4.0 kJ/mol of atoms
energy relative to the lowest polymorph listed for this composition: 67 kJ/mol of formula units

---

# 7
DFT (PBE-GGA) results for a geometry-optimized PaIn2Bi3 structure.

abc: 5.0901 15.6777 4.2956
angles: 90.00 90.00 90.00
With the nearest neighbours (Å) after each atom.
Space group Cmmm (No. 65)
Inequivalent atoms, fractional coordinates:
Pa (0.0000, 0.0000, 0.0000) [2 per cell]  8 Bi 3.33-3.40, 4 In 3.56
In (0.0000, 0.3410, 0.0000) [4 per cell]  8 Bi 3.29-3.46, 2 Pa 3.56
Bi (0.0000, 0.1680, 0.5000) [4 per cell]  6 In 3.33-3.46, 2 Pa 3.40, 4 Bi 3.62-3.66
Bi (0.0000, 0.5000, 0.5000) [2 per cell]  4 In 3.29, 4 Pa 3.33, 4 Bi 3.66

Output
E_form: -2.7 kJ/mol of atoms
energy relative to the lowest polymorph listed for this composition: 0 kJ/mol of formula units

---

# 8
DFT (PBE-GGA) results for a geometry-optimized HAuSeN structure.

abc: 3.1861 2.8456 7.0414
angles: 90.00 100.80 90.00
With the nearest neighbours (Å) after each atom.
Space group Pm (No. 6)
Inequivalent atoms, fractional coordinates:
H (0.0000, 0.0000, 0.0000) [1 per cell]  1 Au 1.59
Au (0.1064, 0.0000, 0.2301) [1 per cell]  1 H 1.59
Se (0.3131, 0.5000, 0.7093) [1 per cell]  2 N 1.85
N (0.2476, 0.0000, 0.5382) [1 per cell]  2 Se 1.85

Output
energy relative to the lowest polymorph listed for this composition: 150 kJ/mol of formula units

---

# 9
DFT (PBE-GGA) results for a geometry-optimized LiCd3Hg3 structure.

abc: 9.7470 9.6209 6.8302
angles: 90.00 90.35 90.00
With the nearest neighbours (Å) after each atom.
Space group C2/m (No. 12)
Inequivalent atoms, fractional coordinates:
Li (0.2394, 0.0000, 0.4899) [4 per cell]  6 Hg 2.80-2.91, 2 Cd 2.95
Cd (0.0000, 0.3185, 0.0000) [4 per cell]  2 Cd 3.05, 4 Hg 3.10-3.13
Cd (0.0000, 0.3433, 0.5000) [4 per cell]  2 Li 2.95, 1 Cd 3.01, 4 Hg 3.04-3.05
Cd (0.2437, 0.0000, 0.0138) [4 per cell]  6 Hg 2.99-3.03, 2 Cd 3.05, 1 Li 3.25
Hg (0.0040, 0.0000, 0.7292) [4 per cell]  2 Li 2.80-2.83, 2 Cd 2.99-3.03, 1 Hg 3.13
Hg (0.2490, 0.2428, 0.7333) [8 per cell]  2 Li 2.87-2.91, 6 Cd 3.02-3.13, 1 Hg 3.19

Output
E_form: -8.4 kJ/mol of atoms
energy relative to the lowest polymorph listed for this composition: 0 kJ/mol of formula units

---

# 10
DFT (PBE-GGA) results for a geometry-optimized Ac8OsRh3 structure.

abc: 14.2375 8.7815 8.3473
angles: 90.00 121.80 90.00
With the nearest neighbours (Å) after each atom.
Space group C2/m (No. 12)
Inequivalent atoms, fractional coordinates:
Ac (0.0034, 0.2462, 0.2429) [8 per cell]  1 Os 2.95, 2 Rh 3.00
Ac (0.2427, 0.0000, 0.2494) [4 per cell]  1 Os 2.95, 2 Rh 3.00
Ac (0.2446, 0.5000, 0.2552) [4 per cell]  3 Rh 2.97
Os (0.0000, 0.0000, 0.0000) [2 per cell]  6 Ac 2.95
Rh (0.0000, 0.5000, 0.0000) [2 per cell]  6 Ac 2.97-3.00
Rh (0.2500, 0.2500, 0.5000) [4 per cell]  6 Ac 2.97-3.00

Output
E_form: -41.9 kJ/mol of atoms

---

# 11
DFT (PBE-GGA) results for a geometry-optimized Pr3SmC8 structure.

abc: 7.3346 7.3346 7.8212
angles: 90.00 90.00 90.00
With the nearest neighbours (Å) after each atom.
Space group I-42m (No. 121)
Inequivalent atoms, fractional coordinates:
Pr (0.0000, 0.0000, 0.0000) [2 per cell]  8 C 2.64-2.73
Pr (0.0000, 0.5000, 0.2500) [4 per cell]  8 C 2.75
Sm (0.0000, 0.0000, 0.5000) [2 per cell]  4 C 2.44
C (0.1627, 0.1627, 0.2744) [8 per cell]  1 C 1.29
C (0.2341, 0.2341, 0.8668) [8 per cell]  1 C 1.29

Output
E_form: 16.6 kJ/mol of atoms

---

# 12
DFT (PBE-GGA) results for a geometry-optimized CaSn2PbS4 structure.

abc: 7.1930 4.1422 7.1954
angles: 90.00 109.35 90.00
With the nearest neighbours (Å) after each atom.
Space group P2/m (No. 10)
Inequivalent atoms, fractional coordinates:
Ca (0.0000, 0.0000, 0.0000) [1 per cell]  6 S 2.89
Sn (0.5000, 0.0000, 0.5000) [1 per cell]  6 S 2.98
Sn (0.5000, 0.5000, 0.0000) [1 per cell]  6 S 2.90
Pb (0.0000, 0.5000, 0.5000) [1 per cell]  6 S 2.97
S (0.2460, 0.5000, 0.2397) [2 per cell]  2 Ca 2.89, 3 Sn 2.90-2.98, 1 Pb 2.97
S (0.2522, 0.0000, 0.7599) [2 per cell]  1 Ca 2.89, 3 Sn 2.90-2.98, 2 Pb 2.97

Output
formation energy from raw total energies: -850 meV/atom

---

no.,density (g/cm³)
1,8.2
2,10.5
3,7.4
4,5.4
5,8.4
6,8.1
7,10.5
8,7.7
9,9.8
10,8.7
11,5.3
12,5.0